{"formula": "Dy4Al2O", "functional": "PBE-GGA", "state": "optimized geometry", "lattice_angstrom": [[-3.735, 0.451, -2.631], [-1.571, -4.030, 1.539], [-1.094, 5.526, 6.505]], "species": ["Al", "Al", "Dy", "Dy", "Dy", "Dy", "O"], "frac_coords": [[0.364, 0.364, 0.729], [0.636, 0.636, 0.271], [0.000, 0.500, 0.000], [0.172, 0.172, 0.343], [0.500, 0.000, 0.000], [0.828, 0.828, 0.657], [0.000, 0.000, 0.000]], "spacegroup": "I4/mmm (139)", "formation_energy_uncorrected_ev_per_atom": -1.00}



{"formula": "TbTl2Te4As", "functional": "PBE-GGA", "state": "optimized geometry", "lattice_angstrom": [[4.383, 0.000, 0.000], [0.000, 8.438, -0.445], [0.000, 2.684, 7.153]], "species": ["Te", "Te", "Te", "Te", "Tl", "Tl", "Tb", "As"], "frac_coords": [[0.500, 0.709, 0.249], [0.000, 0.299, 0.221], [0.000, 0.701, 0.779], [0.500, 0.291, 0.751], [0.500, 0.000, 0.500], [0.000, 0.000, 0.000], [0.000, 0.500, 0.500], [0.500, 0.500, 0.000]], "spacegroup": "P2/m (10)", "formation_energy_uncorrected_ev_per_atom": -0.56}



{"formula": "Ag2RuAu", "functional": "PBE-GGA", "state": "optimized geometry", "lattice_angstrom": [[-0.104, -2.837, -4.342], [0.553, -2.908, 4.260], [-2.695, -0.214, 0.204]], "species": ["Ru", "Au", "Ag", "Ag"], "frac_coords": [[0.000, 0.500, 0.500], [0.500, 0.000, 0.500], [0.500, 0.500, 0.000], [0.000, 0.000, 0.000]], "formation_enthalpy_0k_ev_per_atom": 0.3980, "spacegroup": "Cmmm (65)", "de_polymorph_ev_per_atom": 0.101}



{"formula": "Er5HgRu2", "functional": "PBE-GGA", "state": "optimized geometry", "lattice_angstrom": [[6.942, 0.000, -3.277], [-1.547, 6.768, -3.277], [-0.215, -0.270, 8.536]], "species": ["Er", "Er", "Er", "Er", "Er", "Er", "Er", "Er", "Er", "Er", "Ru", "Ru", "Ru", "Ru", "Hg", "Hg"], "frac_coords": [[0.707, 0.207, 0.732], [0.000, 0.000, 0.000], [0.793, 0.976, 0.268], [0.024, 0.524, 0.732], [0.207, 0.024, 0.732], [0.976, 0.476, 0.268], [0.293, 0.793, 0.268], [0.524, 0.707, 0.732], [0.476, 0.293, 0.268], [0.500, 0.500, 0.000], [0.142, 0.358, 0.000], [0.858, 0.642, 0.000], [0.642, 0.142, 0.000], [0.358, 0.858, 0.000], [0.750, 0.750, 0.500], [0.250, 0.250, 0.500]], "formation_enthalpy_0k_ev_per_atom": -0.4463, "spacegroup": "I4/mcm (140)"}



{"formula": "Mo2CN", "functional": "PBE-GGA", "state": "optimized geometry", "lattice_angstrom": [[-1.252, 1.947, 2.160], [-2.928, -0.516, 1.089], [0.441, -2.335, 4.682]], "species": ["Mo", "Mo", "C", "N"], "frac_coords": [[0.262, 0.262, 0.215], [0.738, 0.738, 0.785], [0.000, 0.000, 0.000], [0.500, 0.500, 0.500]], "spacegroup": "R-3m (166)", "de_polymorph_ev_per_atom": 0.340, "formation_energy_uncorrected_ev_per_atom": 0.07}



{"formula": "PrErCuPt", "functional": "PBE-GGA", "state": "optimized geometry", "lattice_angstrom": [[5.013, 0.000, 0.000], [2.507, 4.342, 0.000], [2.507, 1.447, 4.093]], "species": ["Cu", "Pt", "Pr", "Er"], "frac_coords": [[0.250, 0.250, 0.250], [0.750, 0.750, 0.750], [0.500, 0.500, 0.500], [0.000, 0.000, 0.000]], "formation_enthalpy_0k_ev_per_atom": -0.6812, "spacegroup": "F-43m (216)", "de_polymorph_ev_per_atom": 0.048}



{"formula": "InAgBr2", "functional": "PBE-GGA", "state": "optimized geometry", "lattice_angstrom": [[3.956, 0.000, 0.000], [0.000, 4.107, -0.071], [0.000, 1.429, 7.547]], "species": ["Br", "Br", "Ag", "In"], "frac_coords": [[0.000, 0.841, 0.990], [0.000, 0.659, 0.510], [0.500, 0.750, 0.750], [0.500, 0.250, 0.250]], "spacegroup": "P2/m (10)", "de_polymorph_ev_per_atom": 0.031, "formation_energy_uncorrected_ev_per_atom": -0.43}



{"formula": "LiCa2AlGa6", "functional": "PBE-GGA", "state": "optimized geometry", "lattice_angstrom": [[6.404, 0.000, 0.000], [3.202, 5.546, 0.000], [3.202, 1.849, 11.827]], "species": ["Ga", "Ga", "Ga", "Ga", "Ga", "Ga", "Ga", "Ga", "Ga", "Ga", "Ga", "Ga", "Ca", "Ca", "Ca", "Ca", "Al", "Al", "Li", "Li"], "frac_coords": [[0.646, 0.646, 0.652], [0.200, 0.775, 0.825], [0.200, 0.200, 0.825], [0.775, 0.200, 0.825], [0.057, 0.646, 0.652], [0.225, 0.800, 0.175], [0.800, 0.225, 0.175], [0.354, 0.943, 0.348], [0.646, 0.057, 0.652], [0.943, 0.354, 0.348], [0.800, 0.800, 0.175], [0.354, 0.354, 0.348], [0.139, 0.139, 0.584], [0.690, 0.690, 0.931], [0.310, 0.310, 0.069], [0.861, 0.861, 0.416], [0.000, 0.000, 0.000], [0.500, 0.500, 0.500], [0.580, 0.580, 0.261], [0.420, 0.420, 0.739]], "formation_enthalpy_0k_ev_per_atom": -0.2105, "spacegroup": "R-3m (166)"}



{"formula": "Ta2InNi", "functional": "PBE-GGA", "state": "optimized geometry", "lattice_angstrom": [[-1.209, 2.875, 2.452], [-1.499, -2.055, 1.671], [4.008, -1.827, 4.120]], "species": ["Ta", "Ta", "In", "Ni"], "frac_coords": [[0.000, 0.952, 0.971], [0.500, 0.320, 0.236], [0.000, 0.686, 0.503], [0.500, 0.542, 0.789]], "formation_enthalpy_0k_ev_per_atom": 0.0915, "spacegroup": "Amm2 (38)"}



{"formula": "Sc6AuC4", "functional": "PBE-GGA", "state": "optimized geometry", "lattice_angstrom": [[3.399, 0.000, 0.000], [-1.699, 5.616, 0.000], [0.000, 0.000, 17.859]], "species": ["Sc", "Sc", "Sc", "Sc", "Sc", "Sc", "Sc", "Sc", "Sc", "Sc", "Sc", "Sc", "C", "C", "C", "C", "C", "C", "C", "C", "Au", "Au"], "frac_coords": [[0.227, 0.455, 0.925], [0.651, 0.303, 0.750], [0.773, 0.545, 0.425], [0.030, 0.061, 0.357], [0.500, 0.000, 0.000], [0.349, 0.697, 0.250], [0.970, 0.939, 0.857], [0.030, 0.061, 0.143], [0.500, 0.000, 0.500], [0.227, 0.455, 0.575], [0.773, 0.545, 0.075], [0.970, 0.939, 0.643], [0.137, 0.274, 0.459], [0.405, 0.810, 0.371], [0.595, 0.190, 0.871], [0.595, 0.190, 0.629], [0.863, 0.726, 0.959], [0.863, 0.726, 0.541], [0.137, 0.274, 0.041], [0.405, 0.810, 0.129], [0.650, 0.300, 0.250], [0.350, 0.700, 0.750]], "formation_enthalpy_0k_ev_per_atom": -0.4817, "spacegroup": "Cmcm (63)"}



{"formula": "Tl2IrSe", "functional": "PBE-GGA", "state": "optimized geometry", "lattice_angstrom": [[-1.695, -0.706, 3.173], [-0.710, -3.410, -1.138], [5.581, -2.008, 2.534]], "species": ["Se", "Tl", "Tl", "Ir"], "frac_coords": [[0.500, 0.500, 0.750], [0.000, 0.000, 0.484], [0.000, 0.000, 0.016], [0.500, 0.500, 0.250]], "spacegroup": "P4/mmm (123)", "de_polymorph_ev_per_atom": 0.445, "formation_energy_uncorrected_ev_per_atom": 0.51}



{"formula": "Cs2Ho2TiS6", "functional": "PBE-GGA", "state": "optimized geometry", "lattice_angstrom": [[6.692, 0.002, 0.039], [-3.306, 5.819, 0.039], [-1.230, -2.115, 8.181]], "species": ["Ti", "S", "S", "S", "S", "S", "S", "Ho", "Ho", "Cs", "Cs"], "frac_coords": [[0.000, 0.000, 0.500], [0.938, 0.632, 0.326], [0.245, 0.245, 0.328], [0.755, 0.755, 0.672], [0.062, 0.368, 0.674], [0.632, 0.938, 0.326], [0.368, 0.062, 0.674], [0.667, 0.333, 0.500], [0.333, 0.667, 0.500], [0.170, 0.830, 0.000], [0.830, 0.170, 0.000]], "spacegroup": "C2/m (12)", "formation_energy_uncorrected_ev_per_atom": -1.68}



no.,total magnetization (μB per cell)
1,0.000
2,0.000
3,0.250
4,0.000
5,0.000
6,0.000
7,0.000
8,0.000
9,0.000
10,0.000
11,0.000
12,0.000